# 1
KAlHg2: optimized geometry, GGA-PBE.

## Properties
The energy above the most stable polymorph in this dataset comes out at 18 kJ/mol of formula units. The formation enthalpy at 0 K comes out at -0.010 eV/atom.

Unit cell a=3.6667 b=3.6668 c=8.1243 alpha=90.00 beta=90.00 gamma=90.00
Closest atoms and distances in Å follow each position.
Element x y z (fractional)
Hg  0.0000  0.0000  0.5525  4 Al 3.05, 1 Hg 3.21
Hg  0.0000  0.0000  0.9475  4 Al 3.05, 1 Hg 3.21
Al  0.5000  0.5000  0.7500  8 Hg 3.05
K  0.5000  0.5000  0.2500  8 Hg 3.57, 4 K 3.67


# 2
Os2PtSe: optimized geometry, GGA-PBE.

## Properties
The value obtained for the raw formation energy is 0.726 eV per atom.

Unit cell a=4.7623 b=4.7623 c=4.7623 alpha=130.11 beta=130.11 gamma=73.23
Closest atoms and distances in Å follow each position.
Element x y z (fractional)
Os  0.0000  0.0000  0.0000  4 Os 2.77, 4 Se 2.77, 4 Pt 2.84
Os  0.2500  0.7500  0.5000  4 Pt 2.77, 4 Os 2.77, 4 Se 2.84
Se  0.7500  0.2500  0.5000  8 Os 2.77-2.84, 4 Pt 2.77
Pt  0.5000  0.5000  0.0000  4 Se 2.77, 8 Os 2.77-2.84


# 3
HfHRh3: optimized geometry, GGA-PBE.

## Properties
The energy above the most stable polymorph in this dataset comes out at 205 kJ/mol of formula units.

Unit cell a=7.3928 b=7.3928 c=7.3928 alpha=60.00 beta=60.00 gamma=60.00
Closest atoms and distances in Å follow each position.
Element x y z (fractional)
Rh  0.0583  0.0583  0.4417  2 H 1.98
Rh  0.1917  0.8083  0.1917  2 H 1.98
Rh  0.4417  0.0583  0.0583  2 H 1.98
Rh  0.8083  0.1917  0.1917  2 H 1.98
Rh  0.1917  0.1917  0.8083  2 H 1.98
Rh  0.4417  0.0583  0.4417  2 H 1.98
Rh  0.4417  0.4417  0.0583  2 H 1.98
Rh  0.8083  0.1917  0.8083  2 H 1.98
Rh  0.0583  0.4417  0.4417  2 H 1.98
Rh  0.8083  0.8083  0.1917  2 H 1.98
Rh  0.1917  0.8083  0.8083  2 H 1.98
Rh  0.0583  0.4417  0.0583  2 H 1.98
Hf  0.6250  0.1250  0.6250  6 Rh 2.66
Hf  0.1250  0.6250  0.6250  6 Rh 2.66
Hf  0.6250  0.6250  0.1250  6 Rh 2.66
Hf  0.6250  0.6250  0.6250  6 Rh 2.66
H  0.1250  0.1250  0.6250  6 Rh 1.98
H  0.6250  0.1250  0.1250  6 Rh 1.98
H  0.1250  0.6250  0.1250  6 Rh 1.98
H  0.1250  0.1250  0.1250  6 Rh 1.98


| no. | DFT total energy (eV per atom) | calculated volume (Å³ per cell) |
| --- | --- | --- |
| 1 | -1.3713 | 109 |
| 2 | -7.2698 | 62 |
| 3 | -7.3365 | 286 |